A relaxed TaCr6B6 crystal, computed with GGA-PBE.

a b c (Å): 4.2857 5.6940 5.6940
angles (deg): 80.75 67.89 67.89
Closest atoms and distances in Å follow each position.
Fractional coordinates of all 13 atoms:
Ta (0.0000, 0.0000, 0.0000)  8 Cr 2.57-2.67, 12 B 2.74-2.85
Cr (0.3544, 0.6456, 0.6456)  1 Cr 2.20, 6 B 2.27
Cr (0.6456, 0.3544, 0.3544)  1 Cr 2.20, 6 B 2.27
Cr (0.0000, 0.3523, 0.6477)  1 Cr 2.18, 6 B 2.30-2.32
Cr (0.0000, 0.6477, 0.3523)  1 Cr 2.18, 6 B 2.30-2.32
Cr (0.3121, 0.1879, 0.1879)  6 B 2.18-2.22
Cr (0.6879, 0.8121, 0.8121)  6 B 2.18-2.22
B (0.0000, 0.5000, 0.0000)  4 B 2.14-2.17, 6 Cr 2.18-2.30
B (0.5000, 0.5000, 0.0000)  4 B 2.14-2.17, 6 Cr 2.18-2.30
B (0.0000, 0.0000, 0.5000)  4 B 2.14-2.17, 6 Cr 2.18-2.30
B (0.5000, 0.0000, 0.5000)  4 B 2.14-2.17, 6 Cr 2.18-2.30
B (0.5000, 0.7690, 0.2310)  4 B 2.17, 6 Cr 2.22-2.32
B (0.5000, 0.2310, 0.7690)  4 B 2.17, 6 Cr 2.22-2.32

Space-group type = Immm, No. 71
ΔH_f (0 K) = -0.02 eV per atom

A relaxed Al2SeN crystal, computed with GGA-PBE.

a b c (Å): 4.2862 4.2862 4.2862
angles (deg): 60.00 60.00 60.00
Closest atoms and distances in Å follow each position.
Fractional coordinates of all 4 atoms:
Al (0.2500, 0.2500, 0.2500)  4 Se 2.62, 4 N 2.62
Al (0.7500, 0.7500, 0.7500)  4 Se 2.62, 4 N 2.62
Se (0.5000, 0.5000, 0.5000)  8 Al 2.62
N (0.0000, 0.0000, 0.0000)  8 Al 2.62

Energy relative to the lowest polymorph listed for this composition = 1.239 eV/atom
Space-group type = Fm-3m, No. 225

A relaxed Nd4Ga12Rh crystal, computed with GGA-PBE.

a b c (Å): 7.6081 7.6081 7.6081
angles (deg): 109.47 109.47 109.47
Closest atoms and distances in Å follow each position.
Fractional coordinates of all 17 atoms:
Nd (0.0000, 0.0000, 0.5000)  12 Ga 3.11-3.13
Nd (0.5000, 0.0000, 0.0000)  12 Ga 3.11-3.13
Nd (0.5000, 0.5000, 0.5000)  12 Ga 3.11-3.13
Nd (0.0000, 0.5000, 0.0000)  12 Ga 3.11-3.13
Ga (0.0000, 0.2911, 0.2911)  1 Rh 2.56, 4 Ga 2.86
Ga (0.0000, 0.7089, 0.7089)  1 Rh 2.56, 4 Ga 2.86
Ga (0.7089, 0.7089, 0.0000)  1 Rh 2.56, 4 Ga 2.86
Ga (0.2911, 0.2911, 0.0000)  1 Rh 2.56, 4 Ga 2.86
Ga (0.2911, 0.0000, 0.2911)  1 Rh 2.56, 4 Ga 2.86
Ga (0.7089, 0.0000, 0.7089)  1 Rh 2.56, 4 Ga 2.86
Ga (0.5000, 0.2500, 0.7500)  8 Ga 2.86-3.11, 4 Nd 3.11
Ga (0.5000, 0.7500, 0.2500)  8 Ga 2.86-3.11, 4 Nd 3.11
Ga (0.7500, 0.2500, 0.5000)  8 Ga 2.86-3.11, 4 Nd 3.11
Ga (0.2500, 0.7500, 0.5000)  8 Ga 2.86-3.11, 4 Nd 3.11
Ga (0.7500, 0.5000, 0.2500)  8 Ga 2.86-3.11, 4 Nd 3.11
Ga (0.2500, 0.5000, 0.7500)  8 Ga 2.86-3.11, 4 Nd 3.11
Rh (0.0000, 0.0000, 0.0000)  6 Ga 2.56

Space-group type = Im-3m, No. 229
ΔH_f (0 K) = -0.63 eV per atom

A relaxed Nd4CdPt2 crystal, computed with GGA-PBE.

a b c (Å): 7.1077 7.2171 8.9867
angles (deg): 108.03 107.58 103.46
Closest atoms and distances in Å follow each position.
Fractional coordinates of all 14 atoms:
Nd (0.9975, 0.2424, 0.3947)  3 Pt 2.91-3.07, 1 Cd 3.18
Nd (0.4213, 0.4793, 0.2619)  4 Pt 2.93-3.16
Nd (0.8808, 0.6560, 0.6770)  3 Pt 2.96-3.09, 1 Cd 3.22
Nd (0.7355, 0.1398, 0.6988)  3 Pt 2.89-3.12, 1 Cd 3.18
Nd (0.4097, 0.9674, 0.2381)  4 Pt 2.93-3.16
Nd (0.2868, 0.1910, 0.8015)  3 Pt 2.89-3.12, 1 Cd 3.18
Nd (0.4537, 0.7289, 0.8227)  3 Pt 2.96-3.09, 1 Cd 3.22
Nd (0.8527, 0.5979, 0.1053)  3 Pt 2.91-3.07, 1 Cd 3.18
Cd (0.2052, 0.7843, 0.4838)  1 Pt 2.98, 3 Nd 3.18-3.22
Cd (0.9713, 0.0501, 0.0162)  1 Pt 2.98, 3 Nd 3.18-3.22
Pt (0.4591, 0.3369, 0.5601)  7 Nd 2.89-3.13
Pt (0.7987, 0.8596, 0.4203)  6 Nd 2.91-3.16, 1 Cd 2.98
Pt (0.6286, 0.1894, 0.0797)  6 Nd 2.91-3.16, 1 Cd 2.98
Pt (0.1491, 0.5271, 0.9400)  7 Nd 2.89-3.13

Space-group type = Cc, No. 9
ΔH_f (0 K) = -0.73 eV per atom

| no. | D(E_F) (states/eV per cell) |
| --- | --- |
| 1 | 9.64 |
| 2 | 1.60 |
| 3 | 9.28 |
| 4 | 13.67 |